TbGe3Te6 after structural relaxation, computed with GGA-PBE.

Its total magnetization is 0.000 μB/atom. The density of states at the Fermi level is 4.0 states/eV/cell. As for the crystal system: monoclinic. The calculation puts the mass density at 6.0 g/cm³. The calculation puts the formation energy without anion corrections at -356 meV/atom. As for the volume: 318.7 Å³/f.u.

The space group is P2_1/m (No. 11) and the conventional cell measures 12.4619, 4.1246 and 13.4303 Å, with angles of 90.00, 112.58 and 90.00 degrees. The inequivalent atoms are Tb at (0.0491, 0.2500, 0.2111), Ge at (0.1983, 0.2500, 0.7026), Ge at (0.2985, 0.7500, 0.0975), Ge at (0.4968, 0.7500, 0.6461), Te at (0.0305, 0.7500, 0.3807), Te at (0.0965, 0.2500, 0.9806), Te at (0.2309, 0.7500, 0.8423), Te at (0.2545, 0.7500, 0.2800), Te at (0.3284, 0.2500, 0.5796) and Te at (0.4642, 0.2500, 0.1402).